(1)
# Sm4Dy5Sc3

A geometry-optimized Sm4Dy5Sc3 structure (GGA-PBE, Alexandria).

a = 8.4818 Å, b = 8.4818 Å, c = 9.1728 Å
α = 115.68°, β = 115.68°, γ = 39.63°
With the nearest neighbours (Å) after each atom.
Fractional coordinates of all 12 atoms:
1 Sm 0.0843 0.0843 0.4457  2 Sm 3.27-3.56, 5 Dy 3.39-3.64, 1 Sc 3.44
2 Sm 0.2175 0.2175 0.8812  3 Sc 3.27-3.41, 3 Sm 3.47-3.56, 3 Dy 3.54-3.57
3 Sm 0.7825 0.7825 0.1188  3 Sc 3.27-3.41, 3 Sm 3.47-3.56, 3 Dy 3.54-3.57
4 Sm 0.9157 0.9157 0.5543  2 Sm 3.27-3.56, 5 Dy 3.39-3.64, 1 Sc 3.44
5 Dy 0.0000 0.0000 0.0000  4 Sc 2.88-3.12
6 Dy 0.3273 0.3273 0.6227  4 Sc 3.15-3.35, 3 Sm 3.39-3.45
7 Dy 0.4281 0.4281 0.2871  2 Sc 3.19-3.32, 1 Dy 3.50, 2 Sm 3.57
8 Dy 0.5719 0.5719 0.7129  2 Sc 3.19-3.32, 1 Dy 3.50, 2 Sm 3.57
9 Dy 0.6727 0.6727 0.3773  4 Sc 3.15-3.35, 3 Sm 3.39-3.45
10 Sc 0.2163 0.2163 0.2367  5 Dy 3.12-3.35, 4 Sm 3.27-3.44
11 Sc 0.5000 0.5000 0.0000  2 Dy 2.88
12 Sc 0.7837 0.7837 0.7633  5 Dy 3.12-3.35, 4 Sm 3.27-3.44

Properties
Space-group type ... No. 12
Crystal system ... monoclinic


(2)
# Sm11Dy4Sc9

A geometry-optimized Sm11Dy4Sc9 structure (GGA-PBE, Alexandria).

a = 14.7931 Å, b = 14.7931 Å, c = 3.5803 Å
α = 90.00°, β = 90.00°, γ = 113.34°
With the nearest neighbours (Å) after each atom.
Fractional coordinates of all 24 atoms:
1 Sm 0.0000 0.0000 0.0000  8 Sc 3.40, 2 Sm 3.58
2 Sm 0.0385 0.4015 0.0000  2 Dy 3.33, 6 Sc 3.40-3.65, 4 Sm 3.53-3.61
3 Sm 0.1609 0.8391 0.0000  5 Sm 3.58-3.98, 8 Sc 3.59-3.60
4 Sm 0.2846 0.2846 0.0000  4 Dy 3.21, 4 Sc 3.48, 2 Sm 3.58
5 Sm 0.3662 0.6338 0.0000  4 Dy 3.23, 4 Sc 3.43, 2 Sm 3.58
6 Sm 0.4015 0.0385 0.0000  2 Dy 3.33, 6 Sc 3.40-3.65, 4 Sm 3.53-3.61
7 Sm 0.5985 0.9615 0.0000  2 Dy 3.33, 6 Sc 3.40-3.65, 4 Sm 3.53-3.61
8 Sm 0.6338 0.3662 0.0000  4 Dy 3.23, 4 Sc 3.43, 2 Sm 3.58
9 Sm 0.7154 0.7154 0.0000  4 Dy 3.21, 4 Sc 3.48, 2 Sm 3.58
10 Sm 0.8391 0.1609 0.0000  5 Sm 3.58-3.98, 8 Sc 3.59-3.60
11 Sm 0.9615 0.5985 0.0000  2 Dy 3.33, 6 Sc 3.40-3.65, 4 Sm 3.53-3.61
12 Dy 0.2414 0.4434 0.5000  6 Sm 3.21-3.33, 3 Sc 3.37-3.58, 2 Dy 3.58
13 Dy 0.4434 0.2414 0.5000  6 Sm 3.21-3.33, 3 Sc 3.37-3.58, 2 Dy 3.58
14 Dy 0.5566 0.7586 0.5000  6 Sm 3.21-3.33, 3 Sc 3.37-3.58, 2 Dy 3.58
15 Dy 0.7586 0.5566 0.5000  6 Sm 3.21-3.33, 3 Sc 3.37-3.58, 2 Dy 3.58
16 Sc 0.0651 0.2120 0.5000  1 Dy 3.38, 8 Sm 3.40-3.60, 3 Sc 3.58-3.63
17 Sc 0.1678 0.6319 0.5000  3 Sc 3.26-3.58, 1 Dy 3.37, 6 Sm 3.40-3.59
18 Sc 0.2120 0.0651 0.5000  1 Dy 3.38, 8 Sm 3.40-3.60, 3 Sc 3.58-3.63
19 Sc 0.3681 0.8322 0.5000  3 Sc 3.26-3.58, 1 Dy 3.37, 6 Sm 3.40-3.59
20 Sc 0.5000 0.5000 0.5000  4 Dy 3.58, 2 Sc 3.58, 8 Sm 3.76-3.93
21 Sc 0.6319 0.1678 0.5000  3 Sc 3.26-3.58, 1 Dy 3.37, 6 Sm 3.40-3.59
22 Sc 0.7880 0.9349 0.5000  1 Dy 3.38, 8 Sm 3.40-3.60, 3 Sc 3.58-3.63
23 Sc 0.8322 0.3681 0.5000  3 Sc 3.26-3.58, 1 Dy 3.37, 6 Sm 3.40-3.59
24 Sc 0.9349 0.7880 0.5000  1 Dy 3.38, 8 Sm 3.40-3.60, 3 Sc 3.58-3.63

Properties
Space-group type ... No. 65
Crystal system ... orthorhombic


(3)
# Sm3Dy2Sc2

A geometry-optimized Sm3Dy2Sc2 structure (GGA-PBE, Alexandria).

a = 12.0539 Å, b = 12.0539 Å, c = 3.4619 Å
α = 90.00°, β = 90.00°, γ = 154.88°
With the nearest neighbours (Å) after each atom.
Fractional coordinates of all 7 atoms:
1 Sm 0.0000 0.0000 0.0000  4 Sm 3.46-3.69, 8 Dy 3.60
2 Sm 0.1567 0.8433 0.0000  6 Sc 3.44-3.46, 3 Sm 3.46-3.69, 4 Dy 3.69
3 Sm 0.8433 0.1567 0.0000  6 Sc 3.44-3.46, 3 Sm 3.46-3.69, 4 Dy 3.69
4 Dy 0.4255 0.5745 0.5000  1 Sc 3.33, 3 Dy 3.46-3.51, 8 Sm 3.60-3.69
5 Dy 0.5745 0.4255 0.5000  1 Sc 3.33, 3 Dy 3.46-3.51, 8 Sm 3.60-3.69
6 Sc 0.2840 0.7160 0.5000  2 Sc 3.07, 1 Dy 3.33, 4 Sm 3.44
7 Sc 0.7160 0.2840 0.5000  2 Sc 3.07, 1 Dy 3.33, 4 Sm 3.44

Properties
Space-group type ... No. 65
Crystal system ... orthorhombic
E above lowest polymorph ... 0.000 eV/atom


(4)
# Sm3Dy4Sc

A geometry-optimized Sm3Dy4Sc structure (GGA-PBE, Alexandria).

a = 11.2754 Å, b = 7.2343 Å, c = 6.2368 Å
α = 90.00°, β = 90.00°, γ = 90.00°
With the nearest neighbours (Å) after each atom.
Fractional coordinates of all 16 atoms:
1 Sm 0.0000 0.1253 0.0000  4 Sm 3.49-3.51, 6 Dy 3.54-3.62, 2 Sc 3.61-3.62
2 Sm 0.2498 0.1232 0.3311  4 Sm 3.49-3.59, 2 Sc 3.50-3.51, 6 Dy 3.52-3.64
3 Sm 0.2502 0.8768 0.8311  4 Sm 3.49-3.59, 2 Sc 3.50-3.51, 6 Dy 3.52-3.64
4 Sm 0.5000 0.8747 0.5000  4 Sm 3.49-3.51, 6 Dy 3.54-3.62, 2 Sc 3.61-3.62
5 Sm 0.7502 0.1232 0.3311  4 Sm 3.49-3.59, 2 Sc 3.50-3.51, 6 Dy 3.52-3.64
6 Sm 0.7498 0.8768 0.8311  4 Sm 3.49-3.59, 2 Sc 3.50-3.51, 6 Dy 3.52-3.64
7 Dy 0.0000 0.3747 0.5040  6 Dy 3.46-3.64, 4 Sm 3.52-3.62, 2 Sc 3.60-3.63
8 Dy 0.0000 0.6244 0.9982  6 Dy 3.48-3.64, 4 Sm 3.52-3.62, 2 Sc 3.60
9 Dy 0.2448 0.6257 0.3372  1 Sc 3.44, 6 Dy 3.46-3.61, 5 Sm 3.54-3.64
10 Dy 0.2552 0.3743 0.8372  1 Sc 3.44, 6 Dy 3.46-3.61, 5 Sm 3.54-3.64
11 Dy 0.5000 0.3756 0.4982  6 Dy 3.48-3.64, 4 Sm 3.52-3.62, 2 Sc 3.60
12 Dy 0.5000 0.6253 0.0040  6 Dy 3.46-3.64, 4 Sm 3.52-3.62, 2 Sc 3.60-3.63
13 Dy 0.7448 0.3743 0.8372  1 Sc 3.44, 6 Dy 3.46-3.61, 5 Sm 3.54-3.64
14 Dy 0.7552 0.6257 0.3372  1 Sc 3.44, 6 Dy 3.46-3.61, 5 Sm 3.54-3.64
15 Sc 0.0000 0.8726 0.4982  6 Dy 3.44-3.63, 6 Sm 3.50-3.62
16 Sc 0.5000 0.1274 0.9982  6 Dy 3.44-3.63, 6 Sm 3.50-3.62

Properties
Space-group type ... No. 31
Crystal system ... orthorhombic
E above lowest polymorph ... 0.000 eV/atom


(5)
# SmDySc

A geometry-optimized SmDySc structure (GGA-PBE, Alexandria).

a = 3.4870 Å, b = 4.9114 Å, c = 10.4190 Å
α = 90.00°, β = 90.00°, γ = 90.00°
With the nearest neighbours (Å) after each atom.
Fractional coordinates of all 6 atoms:
1 Sm 0.2500 0.2500 0.0899  1 Sc 3.46, 6 Sm 3.49-3.55, 5 Dy 3.51-3.68
2 Sm 0.7500 0.7500 0.9101  1 Sc 3.46, 6 Sm 3.49-3.55, 5 Dy 3.51-3.68
3 Dy 0.2500 0.2500 0.7370  5 Sc 3.28-3.44, 2 Dy 3.49, 4 Sm 3.51
4 Dy 0.7500 0.7500 0.2630  5 Sc 3.28-3.44, 2 Dy 3.49, 4 Sm 3.51
5 Sc 0.2500 0.2500 0.4224  5 Dy 3.28-3.44, 6 Sc 3.42-3.49, 1 Sm 3.46
6 Sc 0.7500 0.7500 0.5776  5 Dy 3.28-3.44, 6 Sc 3.42-3.49, 1 Sm 3.46

Properties
Space-group type ... No. 59
Crystal system ... orthorhombic
E above lowest polymorph ... 0.014 eV/atom


(6)
# Sm11Dy9Sc4

A geometry-optimized Sm11Dy9Sc4 structure (GGA-PBE, Alexandria).

a = 15.1878 Å, b = 15.1878 Å, c = 3.5786 Å
α = 90.00°, β = 90.00°, γ = 113.12°
With the nearest neighbours (Å) after each atom.
Fractional coordinates of all 24 atoms:
1 Sm 0.0000 0.0000 0.0000  8 Dy 3.53, 2 Sm 3.58
2 Sm 0.0457 0.4061 0.0000  2 Sc 3.31, 6 Dy 3.54-3.62, 3 Sm 3.58-3.63
3 Sm 0.1598 0.8402 0.0000  4 Sm 3.58-3.82, 8 Dy 3.72-3.75
4 Sm 0.2984 0.2984 0.0000  4 Sc 3.24, 2 Sm 3.58, 4 Dy 3.62
5 Sm 0.3706 0.6294 0.0000  4 Sc 3.25, 4 Dy 3.57, 2 Sm 3.58
6 Sm 0.4061 0.0457 0.0000  2 Sc 3.31, 6 Dy 3.54-3.62, 3 Sm 3.58-3.63
7 Sm 0.5939 0.9543 0.0000  2 Sc 3.31, 6 Dy 3.54-3.62, 3 Sm 3.58-3.63
8 Sm 0.6294 0.3706 0.0000  4 Sc 3.25, 4 Dy 3.57, 2 Sm 3.58
9 Sm 0.7016 0.7016 0.0000  4 Sc 3.24, 2 Sm 3.58, 4 Dy 3.62
10 Sm 0.8402 0.1598 0.0000  4 Sm 3.58-3.82, 8 Dy 3.72-3.75
11 Sm 0.9543 0.5939 0.0000  2 Sc 3.31, 6 Dy 3.54-3.62, 3 Sm 3.58-3.63
12 Dy 0.0730 0.2172 0.5000  1 Sc 3.40, 8 Sm 3.53-3.75, 3 Dy 3.58-3.66
13 Dy 0.1665 0.6282 0.5000  1 Sc 3.38, 3 Dy 3.44-3.58, 8 Sm 3.54-3.72
14 Dy 0.2172 0.0730 0.5000  1 Sc 3.40, 8 Sm 3.53-3.75, 3 Dy 3.58-3.66
15 Dy 0.3718 0.8335 0.5000  1 Sc 3.38, 3 Dy 3.44-3.58, 8 Sm 3.54-3.72
16 Dy 0.5000 0.5000 0.5000  2 Dy 3.58, 4 Sc 3.69, 8 Sm 3.74-3.82
17 Dy 0.6282 0.1665 0.5000  1 Sc 3.38, 3 Dy 3.44-3.58, 8 Sm 3.54-3.72
18 Dy 0.7828 0.9270 0.5000  1 Sc 3.40, 8 Sm 3.53-3.75, 3 Dy 3.58-3.66
19 Dy 0.8335 0.3718 0.5000  1 Sc 3.38, 3 Dy 3.44-3.58, 8 Sm 3.54-3.72
20 Dy 0.9270 0.7828 0.5000  1 Sc 3.40, 8 Sm 3.53-3.75, 3 Dy 3.58-3.66
21 Sc 0.2412 0.4455 0.5000  6 Sm 3.24-3.31, 2 Dy 3.38-3.40, 2 Sc 3.58
22 Sc 0.4455 0.2412 0.5000  6 Sm 3.24-3.31, 2 Dy 3.38-3.40, 2 Sc 3.58
23 Sc 0.5545 0.7588 0.5000  6 Sm 3.24-3.31, 2 Dy 3.38-3.40, 2 Sc 3.58
24 Sc 0.7588 0.5545 0.5000  6 Sm 3.24-3.31, 2 Dy 3.38-3.40, 2 Sc 3.58

Properties
Space-group type ... No. 65
Crystal system ... orthorhombic


| no. | total magnetization (μB per cell) | total energy (eV per cell) | formation enthalpy at 0 K (eV per formula unit) |
| --- | --- | --- | --- |
| 1 | 0.6 | -58.4 | 2.53 |
| 2 | 0.0 | -124.8 | 2.48 |
| 3 | 0.0 | -35.7 | 0.29 |
| 4 | 0.0 | -77.4 | 0.22 |
| 5 | 0.0 | -31.0 | 0.17 |
| 6 | 0.0 | -117.5 | 1.18 |